! KBaCa2Tc | Alexandria | PBE | relaxed; values from VASP
&SYSTEM
  ibrav = 0, nat = 5, ntyp = 4
/
ATOMIC_SPECIES
K 39.10 K.upf
Ba 137.33 Ba.upf
Ca 40.08 Ca.upf
Tc 98.00 Tc.upf
CELL_PARAMETERS angstrom
5.7009 0.0000 0.0000
0.0000 5.7009 0.0000
0.0000 0.0000 6.3765
ATOMIC_POSITIONS crystal
K 0.0000 0.0000 0.0000
Ba 0.5000 0.5000 0.0000
Ca 0.0000 0.5000 0.5000
Ca 0.5000 0.0000 0.5000
Tc 0.0000 0.0000 0.5000
! - ρ (g/cm3) = 2.841
! - DFT formation energy (meV per atom) = 652